Record 1
# Y2Tl2Ni | Alexandria via LeMat-Bulk | GGA-PBE | relaxed
data_Y2Tl2Ni
_chemical_formula_sum 'Y4 Tl4 Ni2'
_cell_length_a 7.307
_cell_length_b 7.307
_cell_length_c 4.643
_cell_angle_alpha 90.00
_cell_angle_beta 90.00
_cell_angle_gamma 90.00
_symmetry_space_group_name_H-M 'P 4/m b m'
_symmetry_Int_Tables_number 127
_symmetry_space_group_name_Hall '-P 4 2ab'
loop_
_atom_site_label
_atom_site_fract_x
_atom_site_fract_y
_atom_site_fract_z
_atom_site_occupancy
Y1 0.166 0.334 0.000 1
Tl1 0.146 0.646 0.500 1
Ni1 0.000 0.000 0.500 1
# formation energy from the elements = -156 meV per atom
# DOS at the Fermi energy = 8.8 states/eV per cell
# energy relative to the lowest polymorph listed for this composition = 0.0 kJ per mole of atoms

---

Record 2
# YTlNi | Alexandria via LeMat-Bulk | GGA-PBE | relaxed
data_YTlNi
_chemical_formula_sum 'Y4 Tl4 Ni4'
_cell_length_a 6.518
_cell_length_b 6.518
_cell_length_c 6.518
_cell_angle_alpha 90.00
_cell_angle_beta 90.00
_cell_angle_gamma 90.00
_symmetry_space_group_name_H-M 'F -4 3 m'
_symmetry_Int_Tables_number 216
_symmetry_space_group_name_Hall 'F -4 2 3'
loop_
_atom_site_label
_atom_site_fract_x
_atom_site_fract_y
_atom_site_fract_z
_atom_site_occupancy
Y1 0.000 0.000 0.000 1
Tl1 0.000 0.000 0.500 1
Ni1 0.250 0.250 0.750 1
# formation energy from the elements = -221 meV per atom
# DOS at the Fermi energy = 17.6 states/eV per cell

---

Record 3
# Y6Tl3Ni | Alexandria via LeMat-Bulk | GGA-PBE | relaxed
data_Y6Tl3Ni
_chemical_formula_sum 'Y12 Tl6 Ni2'
_cell_length_a 6.286
_cell_length_b 8.749
_cell_length_c 11.990
_cell_angle_alpha 90.00
_cell_angle_beta 118.68
_cell_angle_gamma 90.00
_symmetry_space_group_name_H-M 'P 1 21/c 1'
_symmetry_Int_Tables_number 14
loop_
_symmetry_equiv_pos_as_xyz
'x,y,z'
'-x,-y,-z'
'-x,y+1/2,-z+1/2'
'x,-y+1/2,z+1/2'
loop_
_atom_site_label
_atom_site_fract_x
_atom_site_fract_y
_atom_site_fract_z
_atom_site_occupancy
Y1 0.070 0.159 0.441 1
Y2 0.337 0.697 0.436 1
Y3 0.409 0.048 0.272 1
Tl1 0.000 0.000 0.000 1
Tl2 0.171 0.115 0.761 1
Ni1 0.500 0.000 0.500 1
# formation energy from the elements = -245 meV per atom
# DOS at the Fermi energy = 25.7 states/eV per cell

---

Record 4
# YTlNi | Alexandria via LeMat-Bulk | GGA-PBE | relaxed
data_YTlNi
_chemical_formula_sum 'Y1 Tl1 Ni1'
_cell_length_a 4.5802
_cell_length_b 4.5802
_cell_length_c 3.5809
_cell_angle_alpha 90.00
_cell_angle_beta 90.00
_cell_angle_gamma 120.00
_symmetry_space_group_name_H-M 'P -6 m 2'
_symmetry_Int_Tables_number 187
_symmetry_space_group_name_Hall 'P -6 2'
loop_
_atom_site_label
_atom_site_fract_x
_atom_site_fract_y
_atom_site_fract_z
_atom_site_occupancy
Y1 0.0000 0.0000 0.0000 1
Tl1 0.6667 0.3333 0.5000 1
Ni1 0.3333 0.6667 0.5000 1
# formation energy from the elements = -254 meV per atom
# DOS at the Fermi energy = 2.0 states/eV per cell

---

Record 5
# YTlNi | Alexandria via LeMat-Bulk | GGA-PBE | relaxed
data_YTlNi
_chemical_formula_sum 'Y1 Tl1 Ni1'
_cell_length_a 4.0646
_cell_length_b 4.0646
_cell_length_c 4.9690
_cell_angle_alpha 90.00
_cell_angle_beta 90.00
_cell_angle_gamma 120.00
_symmetry_space_group_name_H-M 'P 3 m 1'
_symmetry_Int_Tables_number 156
loop_
_symmetry_equiv_pos_as_xyz
'x,y,z'
'-y,x-y,z'
'-x+y,-x,z'
'-y,-x,z'
'-x+y,y,z'
'x,x-y,z'
loop_
_atom_site_label
_atom_site_fract_x
_atom_site_fract_y
_atom_site_fract_z
_atom_site_occupancy
Y1 0.0000 0.0000 0.0000 1
Tl1 0.3333 0.6667 0.5355 1
Ni1 0.6667 0.3333 0.3048 1
# formation energy from the elements = -110 meV per atom
# DOS at the Fermi energy = 2.3 states/eV per cell

---

Record 6
# Y8TlNi2 | Alexandria via LeMat-Bulk | GGA-PBE | relaxed
data_Y8TlNi2
_chemical_formula_sum 'Y16 Tl2 Ni4'
_cell_length_a 8.684
_cell_length_b 13.452
_cell_length_c 5.340
_cell_angle_alpha 90.00
_cell_angle_beta 103.82
_cell_angle_gamma 90.00
_symmetry_space_group_name_H-M 'C 1 2/m 1'
_symmetry_Int_Tables_number 12
loop_
_symmetry_equiv_pos_as_xyz
'x,y,z'
'-x,-y,-z'
'-x,y,-z'
'x,-y,z'
'x+1/2,y+1/2,z'
'-x+1/2,-y+1/2,-z'
'-x+1/2,y+1/2,-z'
'x+1/2,-y+1/2,z'
loop_
_atom_site_label
_atom_site_fract_x
_atom_site_fract_y
_atom_site_fract_z
_atom_site_occupancy
Y1 0.000 0.248 0.000 1
Y2 0.109 0.500 0.804 1
Y3 0.204 0.129 0.576 1
Tl1 0.000 0.000 0.000 1
Ni1 0.000 0.306 0.500 1
# formation energy from the elements = -149 meV per atom
# DOS at the Fermi energy = 30.1 states/eV per cell

---

Record 7
# Y4TlNi | Alexandria via LeMat-Bulk | GGA-PBE | relaxed
data_Y4TlNi
_chemical_formula_sum 'Y8 Tl2 Ni2'
_cell_length_a 5.731
_cell_length_b 6.964
_cell_length_c 8.474
_cell_angle_alpha 90.00
_cell_angle_beta 105.51
_cell_angle_gamma 90.00
_symmetry_space_group_name_H-M 'P 1 21/m 1'
_symmetry_Int_Tables_number 11
loop_
_symmetry_equiv_pos_as_xyz
'x,y,z'
'-x,-y,-z'
'-x,y+1/2,-z'
'x,-y+1/2,z'
loop_
_atom_site_label
_atom_site_fract_x
_atom_site_fract_y
_atom_site_fract_z
_atom_site_occupancy
Y1 0.134 0.250 0.065 1
Y2 0.237 0.750 0.367 1
Y3 0.323 0.505 0.779 1
Tl1 0.203 0.250 0.437 1
Ni1 0.340 0.750 0.052 1
# formation energy from the elements = -270 meV per atom
# DOS at the Fermi energy = 13.1 states/eV per cell
# energy relative to the lowest polymorph listed for this composition = 0.0 kJ per mole of atoms

---

Record 8
# Y3TlNi8 | Alexandria via LeMat-Bulk | GGA-PBE | relaxed
data_Y3TlNi8
_chemical_formula_sum 'Y9 Tl3 Ni24'
_cell_length_a 5.0548
_cell_length_b 5.0548
_cell_length_c 24.8651
_cell_angle_alpha 90.00
_cell_angle_beta 90.00
_cell_angle_gamma 120.00
_symmetry_space_group_name_H-M 'R 3 m'
_symmetry_Int_Tables_number 160
_symmetry_space_group_name_Hall 'R 3 -2"'
loop_
_atom_site_label
_atom_site_fract_x
_atom_site_fract_y
_atom_site_fract_z
_atom_site_occupancy
Y1 0.0000 0.0000 0.0000 1
Y2 0.0000 0.0000 0.1278 1
Y3 0.0000 0.0000 0.5091 1
Tl1 0.0000 0.0000 0.6319 1
Ni1 0.0000 0.0000 0.3165 1
Ni2 0.0000 0.0000 0.8162 1
Ni3 0.0009 0.5004 0.0674 1
Ni4 0.1682 0.3364 0.8991 1
# formation energy from the elements = -349 meV per atom
# DOS at the Fermi energy = 30.0 states/eV per cell

---

Record 9
# YTlNi | Alexandria via LeMat-Bulk | GGA-PBE | relaxed
data_YTlNi
_chemical_formula_sum 'Y4 Tl4 Ni4'
_cell_length_a 6.789
_cell_length_b 6.789
_cell_length_c 6.789
_cell_angle_alpha 90.00
_cell_angle_beta 90.00
_cell_angle_gamma 90.00
_symmetry_space_group_name_H-M 'F -4 3 m'
_symmetry_Int_Tables_number 216
_symmetry_space_group_name_Hall 'F -4 2 3'
loop_
_atom_site_label
_atom_site_fract_x
_atom_site_fract_y
_atom_site_fract_z
_atom_site_occupancy
Y1 0.000 0.000 0.000 1
Tl1 0.250 0.250 0.250 1
Ni1 0.250 0.250 0.750 1
# formation energy from the elements = 352 meV per atom
# DOS at the Fermi energy = 9.7 states/eV per cell

---

Record 10
# YTlZnNi | Alexandria via LeMat-Bulk | GGA-PBE | relaxed
data_YTlZnNi
_chemical_formula_sum 'Y4 Tl4 Zn4 Ni4'
_cell_length_a 6.732
_cell_length_b 6.732
_cell_length_c 6.732
_cell_angle_alpha 90.00
_cell_angle_beta 90.00
_cell_angle_gamma 90.00
_symmetry_space_group_name_H-M 'F -4 3 m'
_symmetry_Int_Tables_number 216
_symmetry_space_group_name_Hall 'F -4 2 3'
loop_
_atom_site_label
_atom_site_fract_x
_atom_site_fract_y
_atom_site_fract_z
_atom_site_occupancy
Y1 0.000 0.000 0.000 1
Tl1 0.000 0.000 0.500 1
Zn1 0.250 0.250 0.250 1
Ni1 0.250 0.250 0.750 1
# formation energy from the elements = -176 meV per atom
# DOS at the Fermi energy = 11.8 states/eV per cell

---

Record 11
# Y2TlZnNi | Alexandria via LeMat-Bulk | GGA-PBE | relaxed
data_Y2TlZnNi
_chemical_formula_sum 'Y2 Tl1 Zn1 Ni1'
_cell_length_a 5.190
_cell_length_b 5.190
_cell_length_c 4.597
_cell_angle_alpha 90.00
_cell_angle_beta 90.00
_cell_angle_gamma 90.00
_symmetry_space_group_name_H-M 'P 4/m m m'
_symmetry_Int_Tables_number 123
_symmetry_space_group_name_Hall '-P 4 2'
loop_
_atom_site_label
_atom_site_fract_x
_atom_site_fract_y
_atom_site_fract_z
_atom_site_occupancy
Y1 0.000 0.500 0.000 1
Tl1 0.000 0.000 0.500 1
Zn1 0.500 0.500 0.500 1
Ni1 0.500 0.500 0.000 1
# formation energy from the elements = -198 meV per atom
# DOS at the Fermi energy = 3.3 states/eV per cell

---

Record 12
# YbTl2Ni | Alexandria via LeMat-Bulk | GGA-PBE | relaxed
data_YbTl2Ni
_chemical_formula_sum 'Yb2 Tl4 Ni2'
_cell_length_a 4.186
_cell_length_b 8.178
_cell_length_c 5.659
_cell_angle_alpha 90.00
_cell_angle_beta 111.46
_cell_angle_gamma 90.00
_symmetry_space_group_name_H-M 'P 1 21/m 1'
_symmetry_Int_Tables_number 11
loop_
_symmetry_equiv_pos_as_xyz
'x,y,z'
'-x,-y,-z'
'-x,y+1/2,-z'
'x,-y+1/2,z'
loop_
_atom_site_label
_atom_site_fract_x
_atom_site_fract_y
_atom_site_fract_z
_atom_site_occupancy
Yb1 0.068 0.250 0.134 1
Tl1 0.355 0.050 0.711 1
Ni1 0.221 0.750 0.445 1
# formation energy from the elements = -218 meV per atom
# DOS at the Fermi energy = 4.3 states/eV per cell